(1)
# YNi2Pt PBE optimized geometry
data_YNi2Pt
_cell_length_a 3.178
_cell_length_b 3.500
_cell_length_c 5.819
_cell_angle_alpha 90.00
_cell_angle_beta 90.00
_cell_angle_gamma 90.00
_space_group_name_H-M_alt 'P m m 2'
_space_group_IT_number 25
_space_group_name_Hall 'P 2 -2'
loop_
_atom_site_label
_atom_site_type_symbol
_atom_site_fract_x
_atom_site_fract_y
_atom_site_fract_z
Y1 Y 0.000 0.000 0.000
Ni1 Ni 0.000 0.000 0.529
Ni2 Ni 0.500 0.500 0.712
Pt1 Pt 0.500 0.500 0.285
# E in eV per cell: -25.32



(2)
# RbPd2CI PBE optimized geometry
data_RbPd2CI
_cell_length_a 5.091
_cell_length_b 5.091
_cell_length_c 5.347
_cell_angle_alpha 90.00
_cell_angle_beta 90.00
_cell_angle_gamma 90.00
_space_group_name_H-M_alt 'P 4/m m m'
_space_group_IT_number 123
_space_group_name_Hall '-P 4 2'
loop_
_atom_site_label
_atom_site_type_symbol
_atom_site_fract_x
_atom_site_fract_y
_atom_site_fract_z
Rb1 Rb 0.000 0.000 0.000
Pd1 Pd 0.000 0.500 0.500
C1 C 0.500 0.500 0.000
I1 I 0.500 0.500 0.500
# Formation energy from raw total energies in eV per atom: 1.182
# E in eV per cell: -16.22



(3)
# Hf2NpCo PBE optimized geometry
data_Hf2NpCo
_cell_length_a 3.135
_cell_length_b 3.135
_cell_length_c 7.751
_cell_angle_alpha 90.00
_cell_angle_beta 90.00
_cell_angle_gamma 90.00
_space_group_name_H-M_alt 'P 4/m m m'
_space_group_IT_number 123
_space_group_name_Hall '-P 4 2'
loop_
_atom_site_label
_atom_site_type_symbol
_atom_site_fract_x
_atom_site_fract_y
_atom_site_fract_z
Hf1 Hf 0.000 0.000 0.204
Np1 Np 0.500 0.500 0.500
Co1 Co 0.500 0.500 0.000
# E in eV per cell: -39.89



(4)
# LiHfAg2 PBE optimized geometry
data_LiHfAg2
_cell_length_a 2.9466
_cell_length_b 2.9466
_cell_length_c 30.4462
_cell_angle_alpha 90.00
_cell_angle_beta 90.00
_cell_angle_gamma 120.00
_space_group_name_H-M_alt 'R -3 m'
_space_group_IT_number 166
_space_group_name_Hall '-R 3 2"'
loop_
_atom_site_label
_atom_site_type_symbol
_atom_site_fract_x
_atom_site_fract_y
_atom_site_fract_z
Li1 Li 0.0000 0.0000 0.0000
Hf1 Hf 0.0000 0.0000 0.5000
Ag1 Ag 0.0000 0.0000 0.4073
# Energy relative to the lowest polymorph listed for this composition in meV/atom: 240
# E in eV per cell: -50.46



(5)
# Tb8GaGe5 PBE optimized geometry
data_Tb8GaGe5
_cell_length_a 8.898
_cell_length_b 8.898
_cell_length_c 8.898
_cell_angle_alpha 90.00
_cell_angle_beta 90.00
_cell_angle_gamma 90.00
_space_group_name_H-M_alt 'I -4'
_space_group_IT_number 82
_space_group_name_Hall 'I -4'
loop_
_atom_site_label
_atom_site_type_symbol
_atom_site_fract_x
_atom_site_fract_y
_atom_site_fract_z
Tb1 Tb 0.065 0.181 0.192
Tb2 Tb 0.068 0.315 0.561
Ga1 Ga 0.000 0.500 0.250
Ge1 Ge 0.000 0.000 0.500
Ge2 Ge 0.126 0.251 0.877
# E in eV per cell: -148.30



(6)
# Ce2Pm2Ge4Pd PBE optimized geometry
data_Ce2Pm2Ge4Pd
_cell_length_a 7.270
_cell_length_b 7.270
_cell_length_c 8.272
_cell_angle_alpha 90.00
_cell_angle_beta 90.00
_cell_angle_gamma 90.00
_space_group_name_H-M_alt 'I 4/m m m'
_space_group_IT_number 139
_space_group_name_Hall '-I 4 2'
loop_
_atom_site_label
_atom_site_type_symbol
_atom_site_fract_x
_atom_site_fract_y
_atom_site_fract_z
Ce1 Ce 0.000 0.000 0.165
Pm1 Pm 0.000 0.500 0.250
Ge1 Ge 0.242 0.242 0.500
Pd1 Pd 0.000 0.000 0.500
# E in eV per cell: -98.82



Q: What is the formula in the second record?
A: RbPd2CI